Entry 1:
The following is a PBE calculation of crystalline KLa2B2 at its relaxed geometry, from Alexandria.

Structure (POSCAR):
```
KLa2B2
1.0
-7.709 -2.756 -1.607
0.660 -5.489 6.249
-1.235 2.233 2.092
B La K
4 4 2
Direct
0.157 0.343 0.000
0.343 0.843 0.000
0.657 0.157 0.000
0.843 0.657 0.000
0.135 0.635 0.500
0.865 0.365 0.500
0.635 0.865 0.500
0.365 0.135 0.500
0.000 0.000 0.000
0.500 0.500 0.000
```

Mass density, g cm⁻³: 4.9
Symmetry: P4/mbm
Total DFT energy (no corrections), eV for the cell shown: -42.55
N(E_F), states/eV per atom: 0.663


Entry 2:
The following is a PBE calculation of crystalline KLaB2 at its relaxed geometry, from Alexandria.

Structure (POSCAR):
```
KLaB2
1.0
5.032 0.000 0.000
0.000 5.032 0.000
2.516 2.516 8.796
La B K
2 4 2
Direct
0.000 0.000 0.000
0.750 0.250 0.500
0.875 0.125 0.750
0.875 0.125 0.250
0.375 0.125 0.750
0.875 0.625 0.250
0.250 0.750 0.500
0.500 0.500 0.000
```

Mass density, g cm⁻³: 3.0
Symmetry: I4_1/amd
Total DFT energy (no corrections), eV for the cell shown: -27.42
N(E_F), states/eV per atom: 0.726


Entry 3:
The following is a PBE calculation of crystalline KLa2NiB at its relaxed geometry, from Alexandria.

Structure (POSCAR):
```
KLa2NiB
1.0
5.612 0.000 0.000
0.000 4.111 0.000
0.000 0.000 5.612
K La B Ni
1 2 1 1
Direct
0.500 0.500 0.500
0.000 0.000 0.500
0.500 0.000 0.000
0.000 0.500 0.000
0.000 0.000 0.000
```

Mass density, g cm⁻³: 5.0
Symmetry: P4/mmm
Total DFT energy (no corrections), eV for the cell shown: -21.26
N(E_F), states/eV per atom: 0.991


Entry 4:
The following is a PBE calculation of crystalline K2LaBO4 at its relaxed geometry, from Alexandria.

Structure (POSCAR):
```
K2LaBO4
1.0
-1.635 -2.148 -4.660
-3.883 -4.842 0.482
-10.559 6.720 -2.507
K O B La
4 8 2 2
Direct
0.942 0.500 0.115
0.558 0.500 0.885
0.192 0.000 0.615
0.808 0.000 0.385
0.361 0.666 0.431
0.458 0.334 0.569
0.776 0.834 0.931
0.389 0.834 0.069
0.974 0.666 0.569
0.208 0.334 0.431
0.292 0.166 0.931
0.542 0.166 0.069
0.250 0.500 0.500
0.500 0.000 0.000
0.750 0.500 0.500
0.000 0.000 0.000
```

E_form (uncorrected), meV/atom: -1982
Mass density, g cm⁻³: 2.6
Symmetry: Fddd
N(E_F), states/eV per atom: 0.000


Entry 5:
The following is a PBE calculation of crystalline K2LaB2O6 at its relaxed geometry, from Alexandria.

Structure (POSCAR):
```
K2LaB2O6
1.0
-1.868 4.796 2.600
-1.733 -5.166 1.888
5.145 -0.224 4.110
B La O K
2 1 6 2
Direct
0.333 0.667 0.791
0.667 0.333 0.209
0.000 0.000 0.000
0.194 0.391 0.786
0.609 0.803 0.786
0.803 0.194 0.214
0.806 0.609 0.214
0.197 0.806 0.786
0.391 0.197 0.214
0.667 0.333 0.672
0.333 0.667 0.328
```

E_form (uncorrected), meV/atom: -2410
Mass density, g cm⁻³: 2.9
Symmetry: P-3
N(E_F), states/eV per atom: 0.431


Entry 6:
The following is a PBE calculation of crystalline K2La2B2O7 at its relaxed geometry, from Alexandria.

Structure (POSCAR):
```
K2La2B2O7
1.0
6.739 0.000 0.000
0.000 10.953 -0.001
0.000 -5.262 10.241
K B O La
8 8 28 8
Direct
0.938 0.264 0.033
0.562 0.764 0.033
0.743 0.944 0.881
0.757 0.444 0.881
0.438 0.236 0.967
0.243 0.556 0.119
0.062 0.736 0.967
0.257 0.056 0.119
0.753 0.089 0.197
0.747 0.589 0.197
0.847 0.646 0.695
0.247 0.911 0.803
0.347 0.854 0.305
0.153 0.354 0.305
0.653 0.146 0.695
0.253 0.411 0.803
0.381 0.599 0.475
0.533 0.913 0.352
0.254 0.860 0.201
0.846 0.664 0.145
0.881 0.901 0.525
0.760 0.137 0.334
0.749 0.215 0.634
0.153 0.036 0.878
0.847 0.964 0.122
0.260 0.363 0.666
0.251 0.785 0.366
0.467 0.087 0.648
0.119 0.099 0.475
0.754 0.640 0.799
0.653 0.464 0.122
0.619 0.401 0.525
0.033 0.587 0.648
0.347 0.536 0.878
0.740 0.637 0.334
0.751 0.715 0.634
0.249 0.285 0.366
0.967 0.413 0.352
0.346 0.836 0.855
0.654 0.164 0.145
0.246 0.360 0.201
0.746 0.140 0.799
0.240 0.863 0.666
0.154 0.336 0.855
0.582 0.417 0.323
0.548 0.820 0.519
0.082 0.083 0.677
0.048 0.680 0.481
0.952 0.320 0.519
0.418 0.583 0.677
0.452 0.180 0.481
0.918 0.917 0.323
```

E_form (uncorrected), meV/atom: -2779
Mass density, g cm⁻³: 4.3
Symmetry: P2_1/c
N(E_F), states/eV per atom: 0.000


Entry 7:
The following is a PBE calculation of crystalline KLa2BRh at its relaxed geometry, from Alexandria.

Structure (POSCAR):
```
KLa2BRh
1.0
5.195 0.000 0.000
0.000 5.295 0.000
0.000 0.000 5.195
K La B Rh
1 2 1 1
Direct
0.000 0.500 0.000
0.500 0.000 0.000
0.000 0.000 0.500
0.000 0.000 0.000
0.500 0.500 0.500
```

Mass density, g cm⁻³: 5.0
Symmetry: P4/mmm
Total DFT energy (no corrections), eV for the cell shown: -22.00
N(E_F), states/eV per atom: 0.845


Entry 8:
The following is a PBE calculation of crystalline KLa2BRh at its relaxed geometry, from Alexandria.

Structure (POSCAR):
```
KLa2BRh
1.0
5.664 0.000 0.000
0.000 4.357 0.000
0.000 0.000 5.664
K La Rh B
1 2 1 1
Direct
0.500 0.500 0.500
0.500 0.000 0.000
0.000 0.000 0.500
0.000 0.000 0.000
0.000 0.500 0.000
```

Mass density, g cm⁻³: 5.1
Symmetry: P4/mmm
Total DFT energy (no corrections), eV for the cell shown: -23.81
N(E_F), states/eV per atom: 0.900